Density functional theory data (GGA-PBE) for Rb4BiAs2 after structural relaxation.

Output
Calculated volume: 54.9 Å³/atom
DFT total energy: -2.623 eV per atom
Energy of formation from the pure elements: -0.188 eV/atom
Crystal system: tetragonal
Density of states at the Fermi level: 3.45 states/eV/cell

Unit cell a=9.1574 b=9.1574 c=9.1574 alpha=94.18 beta=94.18 gamma=148.68
Sites, in units of the cell vectors:
Rb1 0.0506 0.7648 0.8154
Rb2 0.2352 0.0506 0.2858
Rb3 0.7648 0.9494 0.7142
Rb4 0.9494 0.2352 0.1846
Bi1 0.5000 0.5000 0.0000
As1 0.2500 0.7500 0.5000
As2 0.7500 0.2500 0.5000